Record 1
GGA-PBE LaHg2Mo, optimized geometry; ΔE_f = 242.3 meV per atom; distance to the lowest polymorph of the same formula = 0 kJ/mol of formula units; uncorrected energy = -3.8482 eV/atom; space group = I4/mmm (139)
1.0
-4.486 -1.350 3.004
1.561 -2.554 4.691
1.610 4.776 -2.359
Hg Mo La
2 1 1
direct
0.000 0.000 0.000
0.500 0.500 0.000
0.750 0.250 0.500
0.250 0.750 0.500

Record 2
GGA-PBE AlBiRu3, optimized geometry; ΔE_f = 1906.1 meV per atom; distance to the lowest polymorph of the same formula = 511 kJ/mol of formula units; uncorrected energy = -5.1841 eV/atom; space group = Pm-3m (221)
1.0
-4.091 -2.249 1.538
-1.081 -1.208 -4.640
2.501 -4.201 0.511
Ru Al Bi
3 1 1
direct
0.500 0.000 0.000
0.000 0.000 0.500
0.000 0.500 0.000
0.500 0.500 0.500
0.000 0.000 0.000

Record 3
GGA-PBE In2MoS, optimized geometry; uncorrected energy = -4.5648 eV/atom; E_form (uncorrected) = 0.5440 eV per atom; space group = I-42d (122)
1.0
7.663 0.000 0.000
0.000 7.663 0.000
3.832 3.832 2.942
S Mo In
2 2 4
direct
0.500 0.500 0.000
0.250 0.750 0.500
0.000 0.000 0.000
0.750 0.250 0.500
0.611 0.125 0.250
0.875 0.861 0.750
0.375 0.389 0.750
0.139 0.625 0.250

Among the records above, which one has the highest uncorrected energy?
LaHg2Mo

Which of these has the lowest uncorrected energy?
AlBiRu3

uncorrected energy of number 3 (In2MoS)?
-4.5648 eV/atom

Among the records above, which one has the lowest uncorrected energy?
AlBiRu3